DFT (GGA-PBE) results for a relaxed structure of SrCdFe3.

uncorrected energy = -4.432 eV/atom
ΔE_f = 562 kJ/mol of formula units
space group = No. 221
M_tot = 8.6 μB/cell

Cell lengths 4.9591, 4.9591, 4.9591 Å; angles 90.00, 90.00, 90.00 degrees
Element x y z (fractional)
Sr (0.5000, 0.5000, 0.5000)
Fe (0.0000, 0.5000, 0.0000)
Fe (0.0000, 0.0000, 0.5000)
Fe (0.5000, 0.0000, 0.0000)
Cd (0.0000, 0.0000, 0.0000)

DFT (GGA-PBE) results for a relaxed structure of NaSr2Mg2.

uncorrected energy = -1.556 eV/atom
ΔE_f = 9 kJ/mol of formula units
space group = No. 127
M_tot = 0.0 μB/cell

Cell lengths 9.1831, 9.1831, 4.6899 Å; angles 90.00, 90.00, 90.00 degrees
Element x y z (fractional)
Sr (0.1704, 0.6704, 0.5000)
Sr (0.6704, 0.8296, 0.5000)
Sr (0.8296, 0.3296, 0.5000)
Sr (0.3296, 0.1704, 0.5000)
Mg (0.3782, 0.8782, 0.0000)
Mg (0.8782, 0.6218, 0.0000)
Mg (0.6218, 0.1218, 0.0000)
Mg (0.1218, 0.3782, 0.0000)
Na (0.0000, 0.0000, 0.0000)
Na (0.5000, 0.5000, 0.0000)

DFT (GGA-PBE) results for a relaxed structure of Dy19Y6Ho4.

uncorrected energy = -4.597 eV/atom
ΔE_f = 1082 kJ/mol of formula units
space group = No. 197
M_tot = 0.0 μB/cell

Cell lengths 10.7649, 10.7651, 10.7650 Å; angles 109.47, 109.47, 109.47 degrees
Element x y z (fractional)
Dy (0.7407, 0.0000, 0.7407)
Dy (0.2593, 0.0000, 0.2593)
Dy (0.2593, 0.2593, 0.0000)
Dy (0.7407, 0.7407, 0.0000)
Dy (0.0000, 0.7407, 0.7407)
Dy (0.0000, 0.2593, 0.2593)
Dy (0.0000, 0.0000, 0.0000)
Dy (0.1949, 0.2136, 0.5361)
Dy (0.8051, 0.3412, 0.0187)
Dy (0.6775, 0.6588, 0.4639)
Dy (0.0187, 0.8051, 0.3412)
Dy (0.3225, 0.7864, 0.9813)
Dy (0.5361, 0.1949, 0.2136)
Dy (0.9813, 0.3225, 0.7864)
Dy (0.4639, 0.6775, 0.6588)
Dy (0.7864, 0.9813, 0.3225)
Dy (0.3412, 0.0187, 0.8051)
Dy (0.2136, 0.5361, 0.1949)
Dy (0.6588, 0.4639, 0.6775)
Y (0.3708, 0.5000, 0.8708)
Y (0.6292, 0.5000, 0.1292)
Y (0.1292, 0.6292, 0.5000)
Y (0.8708, 0.3708, 0.5000)
Y (0.5000, 0.8708, 0.3708)
Y (0.5000, 0.1292, 0.6292)
Ho (0.0000, 0.0000, 0.6416)
Ho (0.0000, 0.6416, 0.0000)
Ho (0.3584, 0.3584, 0.3584)
Ho (0.6416, 0.0000, 0.0000)